Record 1
Here is an optimized crystal structure of PuCuB2H8 from the Alexandria database. Energies are from GGA-PBE.

Summary:
* ρ: 5.17 g/cm³
* uncorrected energy: -4.894 eV/atom

Unit cell a=4.4670 b=4.4670 c=6.2625 alpha=90.00 beta=90.00 gamma=120.00
Space group P-3m1 (No. 164)
Symmetry-distinct sites (fractional):
Pu 0.0000 0.0000 0.0000 x1
Cu 0.0000 0.0000 0.5000 x1
B 0.3333 0.6667 0.2140 x2
H 0.1838 0.3676 0.2984 x6
H 0.3333 0.6667 0.0142 x2

=====

Record 2
Here is an optimized crystal structure of CuReBH2 from the Alexandria database. Energies are from GGA-PBE.

Summary:
* ρ: 8.86 g/cm³
* uncorrected energy: -4.843 eV/atom

Unit cell a=3.441 b=3.441 c=4.157 alpha=90.00 beta=90.00 gamma=90.00
Space group P4/mmm (No. 123)
Symmetry-distinct sites (fractional):
Cu 0.000 0.000 0.000 x1
Re 0.500 0.500 0.000 x1
B 0.500 0.500 0.500 x1
H 0.000 0.500 0.500 x2

=====

> Among the records above, which one has the lowest ρ?

PuCuB2H8

=====

> The highest uncorrected energy belongs to which entry?

CuReBH2

=====

> What is the uncorrected energy in the first record?

-4.894 eV/atom

=====

> What is the uncorrected energy in the second record?

-4.843 eV/atom